DFT (PBE) results for Li5Tl2SnPb2 after structural relaxation.

Lattice parameters (Å, degrees): 11.236 11.236 3.638 90.00 90.00 90.00
Atoms (fractional coordinates):
Li (0.000, 0.500, 0.000)
Li (0.020, 0.198, 0.000)
Li (0.198, 0.980, 0.000)
Li (0.302, 0.480, 0.000)
Li (0.480, 0.698, 0.000)
Li (0.500, 0.000, 0.000)
Li (0.520, 0.302, 0.000)
Li (0.698, 0.520, 0.000)
Li (0.802, 0.020, 0.000)
Li (0.980, 0.802, 0.000)
Tl (0.139, 0.361, 0.500)
Tl (0.361, 0.861, 0.500)
Tl (0.639, 0.139, 0.500)
Tl (0.861, 0.639, 0.500)
Sn (0.000, 0.000, 0.500)
Sn (0.500, 0.500, 0.500)
Pb (0.164, 0.664, 0.500)
Pb (0.336, 0.164, 0.500)
Pb (0.664, 0.836, 0.500)
Pb (0.836, 0.336, 0.500)

Computed properties:
**E**: -54.7 eV per cell

***

DFT (PBE) results for LiTlSn2Pb after structural relaxation.

Lattice parameters (Å, degrees): 5.721 5.721 4.983 90.00 90.00 90.00
Atoms (fractional coordinates):
Li (0.000, 0.000, 0.000)
Tl (0.000, 0.000, 0.500)
Sn (0.000, 0.500, 0.500)
Sn (0.500, 0.000, 0.500)
Pb (0.500, 0.500, 0.000)

Computed properties:
**E**: -14.1 eV per cell

***

DFT (PBE) results for LiTmSnPb after structural relaxation.

Lattice parameters (Å, degrees): 4.375 4.641 4.770 90.00 90.00 90.00
Atoms (fractional coordinates):
Li (0.000, 0.000, 0.000)
Tm (0.000, 0.500, 0.500)
Sn (0.500, 0.000, 0.500)
Pb (0.500, 0.500, 0.000)

Computed properties:
**E**: -15.9 eV per cell
**Energy relative to the lowest polymorph listed for this composition**: 0.0000 eV per atom

***

DFT (PBE) results for LiTmSnPb after structural relaxation.

Lattice parameters (Å, degrees): 7.387 7.387 7.387 90.00 90.00 90.00
Atoms (fractional coordinates):
Li (0.000, 0.000, 0.000)
Li (0.000, 0.500, 0.500)
Li (0.500, 0.000, 0.500)
Li (0.500, 0.500, 0.000)
Tm (0.000, 0.000, 0.500)
Tm (0.000, 0.500, 0.000)
Tm (0.500, 0.000, 0.000)
Tm (0.500, 0.500, 0.500)
Sn (0.250, 0.250, 0.750)
Sn (0.250, 0.750, 0.250)
Sn (0.750, 0.250, 0.250)
Sn (0.750, 0.750, 0.750)
Pb (0.250, 0.250, 0.250)
Pb (0.250, 0.750, 0.750)
Pb (0.750, 0.250, 0.750)
Pb (0.750, 0.750, 0.250)

Computed properties:
**E**: -61.6 eV per cell
**Energy relative to the lowest polymorph listed for this composition**: 0.1125 eV per atom

***

DFT (PBE) results for LiZn2SnPb after structural relaxation.

Lattice parameters (Å, degrees): 5.179 5.179 5.057 90.00 90.00 90.00
Atoms (fractional coordinates):
Li (0.000, 0.000, 0.000)
Zn (0.000, 0.500, 0.500)
Zn (0.500, 0.000, 0.500)
Sn (0.000, 0.000, 0.500)
Pb (0.500, 0.500, 0.000)

Computed properties:
**E**: -10.6 eV per cell

***

DFT (PBE) results for Sr3Li2Pb4 after structural relaxation.

Lattice parameters (Å, degrees): 6.560 6.560 9.541 102.80 102.80 44.53
Atoms (fractional coordinates):
Sr (0.000, 0.000, 0.000)
Sr (0.377, 0.377, 0.306)
Sr (0.623, 0.623, 0.694)
Li (0.307, 0.307, 0.629)
Li (0.693, 0.693, 0.371)
Pb (0.089, 0.089, 0.403)
Pb (0.293, 0.293, 0.923)
Pb (0.707, 0.707, 0.077)
Pb (0.911, 0.911, 0.597)

Computed properties:
**E**: -27.8 eV per cell

***

DFT (PBE) results for Sr2LiPb after structural relaxation.

Lattice parameters (Å, degrees): 4.044 4.095 8.599 90.00 90.00 90.00
Atoms (fractional coordinates):
Sr (0.000, 0.000, 0.244)
Sr (0.000, 0.000, 0.756)
Li (0.500, 0.500, 0.500)
Pb (0.500, 0.500, 0.000)

Computed properties:
**E**: -10.2 eV per cell

***

DFT (PBE) results for Sr2Li2Pb5 after structural relaxation.

Lattice parameters (Å, degrees): 5.032 5.032 10.510 90.00 90.00 90.00
Atoms (fractional coordinates):
Sr (0.000, 0.000, 0.000)
Sr (0.000, 0.000, 0.500)
Li (0.500, 0.500, 0.130)
Li (0.500, 0.500, 0.870)
Pb (0.000, 0.500, 0.257)
Pb (0.000, 0.500, 0.743)
Pb (0.500, 0.000, 0.257)
Pb (0.500, 0.000, 0.743)
Pb (0.500, 0.500, 0.500)

Computed properties:
**E**: -28.5 eV per cell

***

DFT (PBE) results for SrLi2Pb3 after structural relaxation.

Lattice parameters (Å, degrees): 6.598 6.598 4.463 90.00 90.00 120.00
Atoms (fractional coordinates):
Sr (0.000, 0.000, 0.000)
Li (0.333, 0.667, 0.000)
Li (0.667, 0.333, 0.000)
Pb (0.000, 0.500, 0.500)
Pb (0.500, 0.000, 0.500)
Pb (0.500, 0.500, 0.500)

Computed properties:
**E**: -18.6 eV per cell
**Energy relative to the lowest polymorph listed for this composition**: 0.0000 eV per atom

***

DFT (PBE) results for Sr3LiPb2 after structural relaxation.

Lattice parameters (Å, degrees): 13.519 5.167 11.992 90.00 90.00 90.00
Atoms (fractional coordinates):
Sr (0.046, 0.250, 0.128)
Sr (0.140, 0.750, 0.586)
Sr (0.217, 0.250, 0.813)
Sr (0.283, 0.750, 0.313)
Sr (0.360, 0.250, 0.086)
Sr (0.454, 0.750, 0.628)
Sr (0.546, 0.250, 0.372)
Sr (0.640, 0.750, 0.914)
Sr (0.717, 0.250, 0.687)
Sr (0.783, 0.750, 0.187)
Sr (0.860, 0.250, 0.414)
Sr (0.954, 0.750, 0.872)
Li (0.106, 0.250, 0.416)
Li (0.394, 0.750, 0.916)
Li (0.606, 0.250, 0.084)
Li (0.894, 0.750, 0.584)
Pb (0.019, 0.750, 0.332)
Pb (0.191, 0.750, 0.011)
Pb (0.309, 0.250, 0.511)
Pb (0.481, 0.250, 0.832)
Pb (0.519, 0.750, 0.168)
Pb (0.691, 0.750, 0.489)
Pb (0.809, 0.250, 0.989)
Pb (0.981, 0.250, 0.668)

Computed properties:
**E**: -69.0 eV per cell

***

DFT (PBE) results for SrLi4Pb4 after structural relaxation.

Lattice parameters (Å, degrees): 7.182 7.182 7.182 96.90 96.90 139.45
Atoms (fractional coordinates):
Sr (0.000, 0.000, 0.000)
Li (0.077, 0.617, 0.694)
Li (0.383, 0.077, 0.460)
Li (0.617, 0.923, 0.540)
Li (0.923, 0.383, 0.306)
Pb (0.257, 0.364, 0.621)
Pb (0.364, 0.743, 0.107)
Pb (0.636, 0.257, 0.893)
Pb (0.743, 0.636, 0.379)

Computed properties:
**E**: -26.6 eV per cell

***

DFT (PBE) results for SrLi2Pb4 after structural relaxation.

Lattice parameters (Å, degrees): 9.486 9.486 4.462 90.00 90.00 90.00
Atoms (fractional coordinates):
Sr (0.000, 0.000, 0.000)
Sr (0.500, 0.500, 0.500)
Li (0.221, 0.221, 0.500)
Li (0.279, 0.721, 0.000)
Li (0.721, 0.279, 0.000)
Li (0.779, 0.779, 0.500)
Pb (0.069, 0.680, 0.500)
Pb (0.180, 0.431, 0.000)
Pb (0.320, 0.931, 0.500)
Pb (0.431, 0.180, 0.000)
Pb (0.569, 0.820, 0.000)
Pb (0.680, 0.069, 0.500)
Pb (0.820, 0.569, 0.000)
Pb (0.931, 0.320, 0.500)

Computed properties:
**E**: -43.6 eV per cell